1.
HgRh2Se: optimized geometry, PBE.

Final energy in hartree per atom: -0.1686
Symmetry: No. 99
ΔE_f (raw) in kJ/mol of atoms: 3

a b c (Å): 3.281 3.281 6.852
angles (deg): 90.00 90.00 90.00
Sites, in units of the cell vectors:
Se 0.000 0.000 0.407
Rh 0.500 0.500 0.267
Rh 0.000 0.000 0.032
Hg 0.500 0.500 0.794

---

2.
Rb2Te: optimized geometry, PBE.

Final energy in hartree per atom: -0.0945
Symmetry: No. 139
ΔE_f (raw) in kJ/mol of atoms: -85
Energy above the most stable polymorph in this dataset in eV/atom: 0.124

a b c (Å): 4.939 4.939 6.445
angles (deg): 112.51 112.51 90.00
Sites, in units of the cell vectors:
Rb 0.845 0.845 0.691
Rb 0.155 0.155 0.309
Te 0.500 0.500 0.000

---

3.
Ti2AlRh5: optimized geometry, PBE.

Final energy in hartree per atom: -0.2900
Symmetry: No. 55
E_form in meV/atom: -855.1

a b c (Å): 4.004 5.384 10.591
angles (deg): 90.00 90.00 90.00
Sites, in units of the cell vectors:
Rh 0.000 0.000 0.000
Rh 0.500 0.689 0.890
Ti 0.500 0.324 0.360
Rh 0.000 0.923 0.744
Ti 0.500 0.824 0.140
Rh 0.000 0.077 0.256
Rh 0.000 0.577 0.244
Rh 0.500 0.311 0.110
Ti 0.500 0.176 0.860
Rh 0.500 0.811 0.390
Al 0.000 0.000 0.500
Rh 0.500 0.189 0.610
Rh 0.000 0.500 0.500
Ti 0.500 0.676 0.640
Al 0.000 0.500 0.000
Rh 0.000 0.423 0.756

---

4.
Na2GeS: optimized geometry, PBE.

Final energy in hartree per atom: -0.1082
Symmetry: No. 225
ΔE_f (raw) in kJ/mol of atoms: -9
Energy above the most stable polymorph in this dataset in eV/atom: 0.109

a b c (Å): 4.944 4.944 4.944
angles (deg): 60.00 60.00 60.00
Sites, in units of the cell vectors:
Ge 0.500 0.500 0.500
Na 0.250 0.250 0.250
Na 0.750 0.750 0.750
S 0.000 0.000 0.000